Entry 1:
Here is crystalline Ho12HfTl3 at its relaxed geometry from Alexandria via LeMat-Bulk. Energies are from GGA-PBE.

a b c (Å): 4.8116 4.8116 19.5426
angles (deg): 90.00 90.00 90.00
Fractional positions:
Ho  0.0000  0.0000  0.0000
Ho  0.0000  0.0000  0.2489
Ho  0.0000  0.0000  0.5000
Ho  0.0000  0.0000  0.7511
Ho  0.0000  0.5000  0.1247
Ho  0.0000  0.5000  0.3776
Ho  0.0000  0.5000  0.6224
Ho  0.0000  0.5000  0.8753
Ho  0.5000  0.0000  0.1247
Ho  0.5000  0.0000  0.3776
Ho  0.5000  0.0000  0.6224
Ho  0.5000  0.0000  0.8753
Hf  0.5000  0.5000  0.5000
Tl  0.5000  0.5000  0.0000
Tl  0.5000  0.5000  0.2468
Tl  0.5000  0.5000  0.7532

Output
**DOS(E_F)**: 18.98 states/eV/cell
**Calculated formation energy**: -0.11 eV per atom



Entry 2:
Here is crystalline Si4RuCl at its relaxed geometry from Alexandria via LeMat-Bulk. Energies are from GGA-PBE.

a b c (Å): 5.0960 5.0960 5.0960
angles (deg): 60.00 60.00 60.00
Fractional positions:
Si  0.3756  0.3756  0.3756
Si  0.3756  0.3756  0.8731
Si  0.3756  0.8731  0.3756
Si  0.8731  0.3756  0.3756
Ru  0.0000  0.0000  0.0000
Cl  0.7500  0.7500  0.7500

Output
**Energy relative to the elements, uncorrected**: 0.666 eV/atom
**DOS(E_F)**: 4.54 states/eV/cell



Entry 3:
Here is crystalline TbHo2CdRh4 at its relaxed geometry from Alexandria via LeMat-Bulk. Energies are from GGA-PBE.

a b c (Å): 8.2250 8.2250 8.2250
angles (deg): 33.68 33.68 33.68
Fractional positions:
Tb  0.0000  0.0000  0.0000
Ho  0.2435  0.2435  0.2435
Ho  0.7565  0.7565  0.7565
Cd  0.5000  0.5000  0.5000
Rh  0.1224  0.1224  0.1224
Rh  0.3750  0.3750  0.3750
Rh  0.6250  0.6250  0.6250
Rh  0.8776  0.8776  0.8776

Output
**DOS(E_F)**: 3.21 states/eV/cell
**Calculated formation energy**: -0.76 eV per atom



Entry 4:
Here is crystalline KBa2Sn8 at its relaxed geometry from Alexandria via LeMat-Bulk. Energies are from GGA-PBE.

a b c (Å): 8.9232 8.9232 7.1054
angles (deg): 97.87 97.87 133.56
Fractional positions:
K  0.0000  0.0000  0.0000
Ba  0.1519  0.8481  0.5000
Ba  0.8481  0.1519  0.5000
Sn  0.2346  0.7654  0.0000
Sn  0.2521  0.5421  0.2759
Sn  0.3870  0.3870  0.7844
Sn  0.4579  0.7479  0.7241
Sn  0.5421  0.2521  0.2759
Sn  0.6130  0.6130  0.2156
Sn  0.7479  0.4579  0.7241
Sn  0.7654  0.2346  0.0000

Output
**DOS(E_F)**: 3.72 states/eV/cell
**Calculated formation energy**: -0.32 eV per atom



Entry 5:
Here is crystalline NiMoRh at its relaxed geometry from Alexandria via LeMat-Bulk. Energies are from GGA-PBE.

a b c (Å): 4.6297 4.6297 4.6297
angles (deg): 145.99 132.02 60.12
Fractional positions:
Ni  0.0000  0.0000  0.0000
Mo  0.3364  0.3364  0.0000
Rh  0.6645  0.6645  0.0000

Output
**Energy above the lowest structure with this stoichiometry**: 0 meV/atom
**DOS(E_F)**: 2.52 states/eV/cell
**Calculated formation energy**: -0.15 eV per atom



Entry 6:
Here is crystalline LaSbCl2 at its relaxed geometry from Alexandria via LeMat-Bulk. Energies are from GGA-PBE.

a b c (Å): 10.4989 10.4989 10.4989
angles (deg): 153.54 153.54 37.77
Fractional positions:
La  0.0000  0.0000  0.0000
La  0.7500  0.2500  0.5000
Sb  0.2500  0.7500  0.5000
Sb  0.5000  0.5000  0.0000
Cl  0.1119  0.6250  0.9869
Cl  0.3750  0.3619  0.4869
Cl  0.6381  0.1250  0.0131
Cl  0.8750  0.8881  0.5131

Output
**Energy above the lowest structure with this stoichiometry**: 152 meV/atom
**Energy relative to the elements, uncorrected**: -1.282 eV/atom
**DOS(E_F)**: 0.08 states/eV/cell



Entry 7:
Here is crystalline CePrCu at its relaxed geometry from Alexandria via LeMat-Bulk. Energies are from GGA-PBE.

a b c (Å): 6.6416 6.6416 6.6416
angles (deg): 148.66 148.66 44.91
Fractional positions:
Ce  0.0000  0.0000  0.0000
Pr  0.7159  0.7159  0.0000
Cu  0.3668  0.3668  0.0000

Output
**Energy above the lowest structure with this stoichiometry**: 0 meV/atom
**DOS(E_F)**: 5.95 states/eV/cell
**Calculated formation energy**: 0.01 eV per atom



Entry 8:
Here is crystalline HfBi2F11 at its relaxed geometry from Alexandria via LeMat-Bulk. Energies are from GGA-PBE.

a b c (Å): 8.4525 8.4525 8.4525
angles (deg): 121.69 105.17 102.30
Fractional positions:
Hf  0.2500  0.2500  0.0000
Hf  0.7500  0.7500  0.0000
Bi  0.1842  0.6468  0.8309
Bi  0.3158  0.1468  0.4626
Bi  0.6842  0.8532  0.5374
Bi  0.8158  0.3532  0.1691
F  0.0000  0.5000  0.5000
F  0.0178  0.9419  0.2640
F  0.0744  0.3297  0.1289
F  0.1779  0.4419  0.9241
F  0.2008  0.9455  0.8711
F  0.2127  0.3720  0.5846
F  0.2873  0.8720  0.1593
F  0.2992  0.1703  0.7447
F  0.3221  0.2462  0.2640
F  0.4256  0.5545  0.2553
F  0.4822  0.7462  0.9241
F  0.5000  0.0000  0.5000
F  0.5178  0.2538  0.0759
F  0.5744  0.4455  0.7447
F  0.6779  0.7538  0.7360
F  0.7008  0.8297  0.2553
F  0.7127  0.1280  0.8407
F  0.7873  0.6280  0.4154
F  0.7992  0.0545  0.1289
F  0.8221  0.5581  0.0759
F  0.9256  0.6703  0.8711
F  0.9822  0.0581  0.7360

Output
**Energy relative to the elements, uncorrected**: -2.738 eV/atom
**DOS(E_F)**: 7.95 states/eV/cell



Entry 9:
Here is crystalline Hf4GaH at its relaxed geometry from Alexandria via LeMat-Bulk. Energies are from GGA-PBE.

a b c (Å): 7.6136 7.6136 5.6862
angles (deg): 110.70 110.70 116.45
Fractional positions:
Hf  0.0701  0.6529  0.8521
Hf  0.1784  0.2810  0.6184
Hf  0.2810  0.1784  0.1184
Hf  0.3471  0.9299  0.6479
Hf  0.6529  0.0701  0.3521
Hf  0.7190  0.8216  0.8816
Hf  0.8216  0.7190  0.3816
Hf  0.9299  0.3471  0.1479
Ga  0.3818  0.6182  0.2500
Ga  0.6182  0.3818  0.7500
H  0.0577  0.9423  0.2500
H  0.9423  0.0577  0.7500

Output
**DOS(E_F)**: 7.89 states/eV/cell



Entry 10:
Here is crystalline SrThPa2O8 at its relaxed geometry from Alexandria via LeMat-Bulk. Energies are from GGA-PBE.

a b c (Å): 6.7228 6.7228 6.7228
angles (deg): 131.25 131.25 71.42
Fractional positions:
Sr  0.0000  0.0000  0.0000
Th  0.2500  0.7500  0.5000
Pa  0.5000  0.5000  0.0000
Pa  0.7500  0.2500  0.5000
O  0.1293  0.1432  0.5294
O  0.1293  0.5999  0.9861
O  0.4001  0.3863  0.5294
O  0.4001  0.8707  0.0139
O  0.6137  0.1432  0.0139
O  0.6137  0.5999  0.4706
O  0.8568  0.3863  0.9861
O  0.8568  0.8707  0.4706

Output
**Energy relative to the elements, uncorrected**: -3.638 eV/atom
**DOS(E_F)**: 0.00 states/eV/cell



Entry 11:
Here is crystalline Sr2ScNi at its relaxed geometry from Alexandria via LeMat-Bulk. Energies are from GGA-PBE.

a b c (Å): 3.5733 3.5733 9.5439
angles (deg): 90.00 90.00 90.00
Fractional positions:
Sr  0.0000  0.0000  0.0000
Sr  0.5000  0.5000  0.3727
Sc  0.5000  0.5000  0.7085
Ni  0.0000  0.0000  0.6025

Output
**Energy above the lowest structure with this stoichiometry**: 0 meV/atom
**DOS(E_F)**: 4.40 states/eV/cell
**Calculated formation energy**: 0.02 eV per atom



Entry 12:
Here is crystalline AlAgI4 at its relaxed geometry from Alexandria via LeMat-Bulk. Energies are from GGA-PBE.

a b c (Å): 8.1767 8.1767 9.8808
angles (deg): 90.00 90.00 90.00
Fractional positions:
Al  0.0000  0.5000  0.0000
Al  0.5000  0.0000  0.5000
Ag  0.0000  0.0000  0.0000
Ag  0.0000  0.0000  0.5000
I  0.2311  0.2727  0.0000
I  0.2311  0.7273  0.0000
I  0.2727  0.2311  0.5000
I  0.2727  0.7689  0.5000
I  0.7273  0.2311  0.5000
I  0.7273  0.7689  0.5000
I  0.7689  0.2727  0.0000
I  0.7689  0.7273  0.0000

Output
**Energy above the lowest structure with this stoichiometry**: 247 meV/atom
**Energy relative to the elements, uncorrected**: -0.304 eV/atom



| no. | VASP energy (eV/atom) | mass density (g/cm3) |
| --- | --- | --- |
| 1 | -4.61 | 10.2 |
| 2 | -4.80 | 4.4 |
| 3 | -6.27 | 11.0 |
| 4 | -3.69 | 5.5 |
| 5 | -8.14 | 10.5 |
| 6 | -4.47 | 4.8 |
| 7 | -4.92 | 7.2 |
| 8 | -5.47 | 6.0 |
| 9 | -7.89 | 11.9 |
| 10 | -9.28 | 9.0 |
| 11 | -3.84 | 3.8 |
| 12 | -2.44 | 3.2 |